{"formula": "NbTlAgS2", "functional": "PBE", "state": "relaxed", "cell": [[5.0952, 0.0000, 0.0000], [0.0000, 5.0952, 0.0000], [0.0000, 0.0000, 5.4652]], "species": ["Nb", "Tl", "Ag", "S", "S"], "fractional_positions": [[0.0000, 0.0000, 0.0000], [0.0000, 0.0000, 0.5000], [0.5000, 0.5000, 0.0000], [0.0000, 0.5000, 0.5000], [0.5000, 0.0000, 0.5000]], "relative_energy_mev_per_atom": 193, "mass_density_g_cm3": 5.5, "raw_formation_energy_mev_per_atom": 1411}